Entry 1:
Density functional theory data (PBE-GGA) for a relaxed Nd2Sm3Y6Sc crystal.

## Properties
As for the space group: C2/m. The value obtained for the formation energy is 0.025 eV per atom. For the density of states at the Fermi level, the calculation gives 16.01 states/eV/cell. The volume is 32.32 A^3/atom.

```
Nd2Sm3Y6Sc
1.0
3.098 -5.365 0.000
3.098 5.365 0.000
-2.059 0.000 11.665
Nd Sm Y Sc
2 3 6 1
Direct
0.166 0.834 0.000
0.834 0.166 0.000
0.000 0.000 0.500
0.333 0.667 0.500
0.667 0.333 0.500
0.088 0.418 0.752
0.252 0.252 0.249
0.418 0.088 0.752
0.582 0.912 0.248
0.748 0.748 0.751
0.912 0.582 0.248
0.500 0.500 0.000
```


Entry 2:
Density functional theory data (PBE-GGA) for a relaxed NdSc5Sn6 crystal.

## Properties
As for the space group: C2/m. The value obtained for the formation energy is -0.552 eV per atom. For the density of states at the Fermi level, the calculation gives 8.07 states/eV/cell. The volume is 25.02 A^3/atom.

```
NdSc5Sn6
1.0
2.952 -7.310 0.000
2.952 7.310 0.000
-1.825 0.000 6.956
Nd Sc Sn
1 5 6
Direct
0.000 0.000 0.000
0.000 0.000 0.500
0.324 0.676 0.000
0.351 0.649 0.500
0.649 0.351 0.500
0.676 0.324 0.000
0.165 0.815 0.274
0.185 0.835 0.726
0.471 0.471 0.769
0.529 0.529 0.231
0.815 0.165 0.274
0.835 0.185 0.726
```


Entry 3:
Density functional theory data (PBE-GGA) for a relaxed NdSc4Sn4 crystal.

## Properties
As for the space group: P4_2/n. The value obtained for the formation energy is -0.380 eV per atom. For the density of states at the Fermi level, the calculation gives 19.37 states/eV/cell. The volume is 29.41 A^3/atom.

```
NdSc4Sn4
1.0
9.550 0.000 0.000
0.000 9.550 0.000
0.000 0.000 5.804
Nd Sc Sn
2 8 8
Direct
0.250 0.250 0.250
0.750 0.750 0.750
0.112 0.638 0.148
0.138 0.888 0.648
0.362 0.612 0.648
0.388 0.862 0.148
0.612 0.138 0.852
0.638 0.388 0.352
0.862 0.112 0.352
0.888 0.362 0.852
0.056 0.596 0.666
0.096 0.944 0.166
0.404 0.556 0.166
0.444 0.904 0.666
0.556 0.096 0.334
0.596 0.444 0.834
0.904 0.056 0.834
0.944 0.404 0.334
```


Copy entry 2 word for word.
Density functional theory data (PBE-GGA) for a relaxed NdSc5Sn6 crystal.

## Properties
As for the space group: C2/m. The value obtained for the formation energy is -0.552 eV per atom. For the density of states at the Fermi level, the calculation gives 8.07 states/eV/cell. The volume is 25.02 A^3/atom.

```
NdSc5Sn6
1.0
2.952 -7.310 0.000
2.952 7.310 0.000
-1.825 0.000 6.956
Nd Sc Sn
1 5 6
Direct
0.000 0.000 0.000
0.000 0.000 0.500
0.324 0.676 0.000
0.351 0.649 0.500
0.649 0.351 0.500
0.676 0.324 0.000
0.165 0.815 0.274
0.185 0.835 0.726
0.471 0.471 0.769
0.529 0.529 0.231
0.815 0.165 0.274
0.835 0.185 0.726
```